CaTcNi3 | GGA-PBEsol | optimized geometry Values from VASP.

Calculated values
spin magnetization	0.0	μB/f.u.
E_form	691	meV/atom
crystal system	cubic
DOS at the Fermi energy	4.619	states/eV per cell

Structure (Quantum ESPRESSO input):
```
&SYSTEM
  ibrav = 0, nat = 5, ntyp = 3
/
ATOMIC_SPECIES
Ni 58.69 Ni.upf
Tc 98.00 Tc.upf
Ca 40.08 Ca.upf
CELL_PARAMETERS angstrom
-0.6624 1.2112 -4.2516
-3.6021 -2.6401 -0.1909
-2.5628 3.3977 1.3672
ATOMIC_POSITIONS angstrom
Ni -1.8010 -1.3201 -0.0955
Ni -1.2814 1.6989 0.6836
Ni -0.3312 0.6056 -2.1258
Tc 0.0000 0.0000 0.0000
Ca -3.4136 0.9844 -1.5377
```